No. 1
Compound: BaIrOF2
Source: Alexandria
Functional: PBE
Structure: relaxed

## Properties
final energy	-5.580	eV per atom
distance to the lowest polymorph of the same formula	0	meV per atom

abc: 4.699 4.699 3.836
angles: 90.00 90.00 90.00
Space group P4/mmm (No. 123)
One atom of each set of equivalent atoms:
Ba (0.000, 0.000, 0.000) x1
Ir (0.500, 0.500, 0.500) x1
O (0.500, 0.500, 0.000) x1
F (0.000, 0.500, 0.500) x2


No. 2
Compound: BaNbSeS2
Source: Alexandria
Functional: PBE
Structure: relaxed

## Properties
final energy	-4.740	eV per atom
distance to the lowest polymorph of the same formula	1334	meV per atom

abc: 5.437 5.437 4.797
angles: 90.00 90.00 90.00
Space group P4/mmm (No. 123)
One atom of each set of equivalent atoms:
Ba (0.000, 0.000, 0.000) x1
Nb (0.500, 0.500, 0.000) x1
Se (0.500, 0.500, 0.500) x1
S (0.000, 0.500, 0.500) x2


no.,raw formation energy (kcal/mol of atoms)
1,-38.81
2,0.14